Here is a relaxed structure of Mg2MnZn from Alexandria via LeMat-Bulk. Energies are from PBE.

Output
**Raw total energy**: -3.31 eV/atom
**Symmetry**: P4/mmm, No. 123
**Crystal system**: tetragonal

a b c (Å): 4.3511 4.3511 3.6572
angles (deg): 90.00 90.00 90.00
Closest atoms and distances in Å follow each position.
Element x y z (fractional)
Mg (0.0000, 0.0000, 0.0000)  4 Mn 2.84, 4 Zn 2.84, 4 Mg 3.08
Mg (0.5000, 0.5000, 0.0000)  4 Mn 2.84, 4 Zn 2.84, 4 Mg 3.08
Mn (0.5000, 0.0000, 0.5000)  8 Mg 2.84, 4 Zn 3.08
Zn (0.0000, 0.5000, 0.5000)  8 Mg 2.84, 4 Mn 3.08